Entry 1:
The following is a DFT calculation (PBE-GGA) of Nd3Cd2InAgPt2 after structural relaxation.

Results
**Magnetic moment**: 0.0 μB/cell
**Calculated volume**: 23.7 Å³/atom

a b c (Å): 3.9970 7.8566 7.8566
angles (deg): 120.02 90.00 90.00
Element x y z (fractional)
Nd 0.0000 0.0000 0.0000
Nd 0.0000 0.4125 0.8287
Nd 0.0000 0.8287 0.4125
Cd 0.5000 0.1557 0.4142
Cd 0.5000 0.4142 0.1557
In 0.5000 0.6689 0.6689
Ag 0.0000 0.4143 0.4143
Pt 0.5000 0.0758 0.7462
Pt 0.5000 0.7462 0.0758

Entry 2:
The following is a DFT calculation (PBE-GGA) of Pr3Cd2InAgPd2 after structural relaxation.

Results
**Magnetic moment**: 0.0 μB/cell
**Calculated volume**: 24.2 Å³/atom

a b c (Å): 4.0829 7.8509 7.8509
angles (deg): 120.02 90.00 90.00
Element x y z (fractional)
Pr 0.0000 0.0000 0.0000
Pr 0.0000 0.1733 0.5877
Pr 0.0000 0.5877 0.1733
Cd 0.5000 0.5862 0.8440
Cd 0.5000 0.8440 0.5862
In 0.5000 0.3326 0.3326
Ag 0.0000 0.5860 0.5860
Pd 0.5000 0.2546 0.9256
Pd 0.5000 0.9256 0.2546

Entry 3:
The following is a DFT calculation (PBE-GGA) of Pr3Cd2InAgPt2 after structural relaxation.

Results
**Magnetic moment**: 0.0 μB/cell
**Calculated volume**: 24.0 Å³/atom

a b c (Å): 4.0380 7.8683 7.8683
angles (deg): 120.03 90.00 90.00
Element x y z (fractional)
Pr 0.0000 0.0000 0.0000
Pr 0.0000 0.4127 0.8292
Pr 0.0000 0.8292 0.4127
Cd 0.5000 0.1569 0.4152
Cd 0.5000 0.4152 0.1569
In 0.5000 0.6693 0.6693
Ag 0.0000 0.4147 0.4147
Pt 0.5000 0.0759 0.7468
Pt 0.5000 0.7468 0.0759

Entry 4:
The following is a DFT calculation (PBE-GGA) of Sm3Cd3InAg2 after structural relaxation.

Results
**Magnetic moment**: 0.0 μB/cell
**Calculated volume**: 24.9 Å³/atom

a b c (Å): 8.0801 8.0801 3.9661
angles (deg): 90.00 90.00 120.00
Element x y z (fractional)
Sm 0.0000 0.5915 0.0000
Sm 0.4085 0.4085 0.0000
Sm 0.5915 0.0000 0.0000
Cd 0.0000 0.2732 0.5000
Cd 0.2732 0.0000 0.5000
Cd 0.7268 0.7268 0.5000
In 0.0000 0.0000 0.0000
Ag 0.3333 0.6667 0.5000
Ag 0.6667 0.3333 0.5000

Entry 5:
The following is a DFT calculation (PBE-GGA) of Tb3Cd3In2Ag after structural relaxation.

Results
**Magnetic moment**: 0.0 μB/cell
**Calculated volume**: 24.4 Å³/atom

a b c (Å): 7.9478 7.9478 4.0086
angles (deg): 90.00 90.00 120.00
Element x y z (fractional)
Tb 0.0000 0.3956 0.0000
Tb 0.3956 0.0000 0.0000
Tb 0.6044 0.6044 0.0000
Cd 0.0000 0.7401 0.5000
Cd 0.2599 0.2599 0.5000
Cd 0.7401 0.0000 0.5000
In 0.3333 0.6667 0.5000
In 0.6667 0.3333 0.5000
Ag 0.0000 0.0000 0.0000

Entry 6:
The following is a DFT calculation (PBE-GGA) of Y2CdInAg4 after structural relaxation.

Results
**Magnetic moment**: 0.0 μB/cell
**Calculated volume**: 21.5 Å³/atom

a b c (Å): 4.9545 4.9545 7.0172
angles (deg): 90.00 90.00 90.00
Element x y z (fractional)
Y 0.0000 0.0000 0.0000
Y 0.5000 0.5000 0.5000
Cd 0.0000 0.0000 0.5000
In 0.5000 0.5000 0.0000
Ag 0.0000 0.5000 0.2504
Ag 0.0000 0.5000 0.7496
Ag 0.5000 0.0000 0.2504
Ag 0.5000 0.0000 0.7496

Entry 7:
The following is a DFT calculation (PBE-GGA) of CdAg2Ir after structural relaxation.

Results
**Magnetic moment**: 0.0 μB/cell
**E_form**: 247 meV per atom
**Calculated volume**: 17.4 Å³/atom

a b c (Å): 4.6158 4.6158 4.6158
angles (deg): 60.00 60.00 60.00
Element x y z (fractional)
Cd 0.0000 0.0000 0.0000
Ag 0.2500 0.2500 0.2500
Ag 0.5000 0.5000 0.5000
Ir 0.7500 0.7500 0.7500

Entry 8:
The following is a DFT calculation (PBE-GGA) of Pr3MgCd2AgIr2 after structural relaxation.

Results
**Magnetic moment**: 0.0 μB/cell
**Calculated volume**: 23.4 Å³/atom

a b c (Å): 4.0739 7.7466 7.7466
angles (deg): 120.66 90.00 90.00
Element x y z (fractional)
Pr 0.0000 0.0000 0.0000
Pr 0.0000 0.4124 0.8360
Pr 0.0000 0.8360 0.4124
Mg 0.5000 0.6714 0.6714
Cd 0.5000 0.1628 0.4163
Cd 0.5000 0.4163 0.1628
Ag 0.0000 0.4261 0.4261
Ir 0.5000 0.0702 0.7445
Ir 0.5000 0.7445 0.0702

Number 1: electronic total energy -4.49 eV/atom. Number 2: electronic total energy -4.16 eV/atom. Number 3: electronic total energy -4.48 eV/atom. Number 4: electronic total energy -3.16 eV/atom. Number 5: electronic total energy -3.15 eV/atom. Number 6: electronic total energy -3.83 eV/atom. Number 7: electronic total energy -3.60 eV/atom. Number 8: electronic total energy -4.73 eV/atom.